First-principles (PBE) data for a relaxed structure of RbMnI2Br, as listed in Alexandria.

Values from the calculation:
* offset from the most stable computed form: 0.000 eV/f.u.
* VASP energy: -3.91 eV/atom
* formation energy (no corrections): -0.93 eV per atom

a = 7.709 Å, b = 7.709 Å, c = 8.487 Å
α = 117.01°, β = 117.01°, γ = 90.00°
Fractional coordinates of all 10 atoms:
Rb (0.744, 0.244, 0.487)
Rb (0.244, 0.744, 0.487)
Mn (0.042, 0.042, 0.084)
Mn (0.542, 0.542, 0.084)
I (0.299, 0.799, 0.981)
I (0.799, 0.682, 0.981)
I (0.682, 0.182, 0.981)
I (0.182, 0.299, 0.981)
Br (0.733, 0.733, 0.467)
Br (0.233, 0.233, 0.467)